Version P
Entry from Alexandria via LeMat-Bulk: an optimized crystal structure of Pm3GaRu (PBE).

Structure (CIF):
```
data_Pm3GaRu
_chemical_formula_sum 'Pm6 Ga2 Ru2'
_cell_length_a 7.076
_cell_length_b 5.165
_cell_length_c 7.592
_cell_angle_alpha 90.00
_cell_angle_beta 98.20
_cell_angle_gamma 90.00
_space_group_name_H-M_alt 'P 1 m 1'
_space_group_IT_number 6
loop_
_space_group_symop_operation_xyz
'x,y,z'
'x,-y,z'
loop_
_atom_site_label
_atom_site_type_symbol
_atom_site_fract_x
_atom_site_fract_y
_atom_site_fract_z
_atom_site_occupancy
Pm1 Pm 0.000 0.000 0.000 1
Pm2 Pm 0.030 0.500 0.678 1
Pm3 Pm 0.291 0.500 0.284 1
Pm4 Pm 0.481 0.500 0.852 1
Pm5 Pm 0.566 0.000 0.524 1
Pm6 Pm 0.789 0.500 0.241 1
Ga1 Ga 0.081 0.000 0.418 1
Ga2 Ga 0.479 0.000 0.080 1
Ru1 Ru 0.254 0.000 0.755 1
Ru2 Ru 0.647 0.500 0.541 1
```

Size of the total moment in μB per atom: 0.0000
Volume in Å³/cell: 274.6

***

Version Q
Entry from Alexandria via LeMat-Bulk: an optimized crystal structure of Pm3GaRu (PBE).

Structure (CIF):
```
data_Pm3GaRu
_chemical_formula_sum 'Pm24 Ga8 Ru8'
_cell_length_a 6.594
_cell_length_b 9.673
_cell_length_c 15.994
_cell_angle_alpha 90.00
_cell_angle_beta 90.00
_cell_angle_gamma 90.00
_space_group_name_H-M_alt 'F m m m'
_space_group_IT_number 69
_space_group_name_Hall '-F 2 2'
loop_
_atom_site_label
_atom_site_type_symbol
_atom_site_fract_x
_atom_site_fract_y
_atom_site_fract_z
_atom_site_occupancy
Pm1 Pm 0.000 0.000 0.196 1
Pm2 Pm 0.000 0.189 0.396 1
Ga1 Ga 0.191 0.000 0.000 1
Ru1 Ru 0.250 0.250 0.250 1
```

Size of the total moment in μB per atom: 0.0000
Volume in Å³/cell: 1020.2

***

Which of them is the most stable? Correct choice: version Q.